{"formula": "Ca2ScZn", "functional": "PBE-GGA", "state": "optimized geometry", "cell": [[3.743, 0.000, 0.000], [0.000, 5.304, 0.000], [0.000, 0.000, 11.359]], "species": ["Ca", "Ca", "Ca", "Ca", "Sc", "Sc", "Zn", "Zn"], "fractional_positions": [[0.000, 0.000, 0.207], [0.000, 0.000, 0.793], [0.500, 0.500, 0.293], [0.500, 0.500, 0.707], [0.000, 0.500, 0.000], [0.500, 0.000, 0.500], [0.000, 0.500, 0.500], [0.500, 0.000, 0.000]], "delta_e_f_ev_per_fu": 0.33, "e_tot_ev_per_cell": -22.55}



{"formula": "CaScZn", "functional": "PBE-GGA", "state": "optimized geometry", "cell": [[6.921, 0.000, 0.000], [0.000, 6.921, 0.000], [0.000, 0.000, 6.921]], "species": ["Ca", "Ca", "Ca", "Ca", "Sc", "Sc", "Sc", "Sc", "Zn", "Zn", "Zn", "Zn"], "fractional_positions": [[0.000, 0.000, 0.000], [0.000, 0.500, 0.500], [0.500, 0.000, 0.500], [0.500, 0.500, 0.000], [0.000, 0.000, 0.500], [0.000, 0.500, 0.000], [0.500, 0.000, 0.000], [0.500, 0.500, 0.500], [0.250, 0.250, 0.250], [0.250, 0.750, 0.750], [0.750, 0.250, 0.750], [0.750, 0.750, 0.250]], "polymorph_energy_mev_per_atom": 255, "delta_e_f_ev_per_fu": 0.38, "e_tot_ev_per_cell": -36.92}



{"formula": "CaSc2Zn", "functional": "PBE-GGA", "state": "optimized geometry", "cell": [[3.430, 0.000, 0.000], [0.000, 3.430, 0.000], [0.000, 0.000, 8.516]], "species": ["Ca", "Sc", "Sc", "Zn"], "fractional_positions": [[0.000, 0.000, 0.000], [0.000, 0.000, 0.578], [0.500, 0.500, 0.330], [0.500, 0.500, 0.758]], "delta_e_f_ev_per_fu": -0.30, "e_tot_ev_per_cell": -16.24}



{"formula": "Ca2ScZn", "functional": "PBE-GGA", "state": "optimized geometry", "cell": [[3.555, 0.000, 0.000], [0.000, 3.555, 0.000], [0.000, 0.000, 9.171]], "species": ["Ca", "Ca", "Sc", "Zn"], "fractional_positions": [[0.000, 0.000, 0.000], [0.500, 0.500, 0.343], [0.000, 0.000, 0.631], [0.500, 0.500, 0.782]], "delta_e_f_ev_per_fu": -0.32, "e_tot_ev_per_cell": -11.93}



{"formula": "CaSc2Zn", "functional": "PBE-GGA", "state": "optimized geometry", "cell": [[4.548, 0.000, 0.000], [0.000, 4.548, 0.000], [0.000, 0.000, 4.654]], "species": ["Ca", "Sc", "Sc", "Zn"], "fractional_positions": [[0.000, 0.000, 0.000], [0.000, 0.500, 0.500], [0.500, 0.000, 0.500], [0.500, 0.500, 0.000]], "delta_e_f_ev_per_fu": 0.28, "e_tot_ev_per_cell": -15.66}



{"formula": "Ca2ScZn", "functional": "PBE-GGA", "state": "optimized geometry", "cell": [[4.758, 0.000, 0.000], [0.000, 4.758, 0.000], [0.000, 0.000, 9.836]], "species": ["Ca", "Ca", "Ca", "Ca", "Sc", "Sc", "Zn", "Zn"], "fractional_positions": [[0.000, 0.500, 0.250], [0.000, 0.500, 0.750], [0.500, 0.000, 0.250], [0.500, 0.000, 0.750], [0.000, 0.000, 0.000], [0.500, 0.500, 0.500], [0.000, 0.000, 0.500], [0.500, 0.500, 0.000]], "delta_e_f_ev_per_fu": 0.59, "e_tot_ev_per_cell": -22.04}



{"formula": "CaSc2Zn", "functional": "PBE-GGA", "state": "optimized geometry", "cell": [[3.613, 0.000, 0.000], [0.000, 5.036, 0.000], [0.000, 0.000, 10.800]], "species": ["Ca", "Ca", "Sc", "Sc", "Sc", "Sc", "Zn", "Zn"], "fractional_positions": [[0.000, 0.000, 0.000], [0.500, 0.500, 0.500], [0.000, 0.000, 0.577], [0.000, 0.500, 0.786], [0.500, 0.000, 0.286], [0.500, 0.500, 0.077], [0.000, 0.500, 0.272], [0.500, 0.000, 0.772]], "delta_e_f_ev_per_fu": 0.09, "e_tot_ev_per_cell": -31.69}



{"formula": "Ca2ScZn", "functional": "PBE-GGA", "state": "optimized geometry", "cell": [[7.143, 0.000, 0.000], [0.000, 7.153, 0.000], [0.000, 0.000, 4.352]], "species": ["Ca", "Ca", "Ca", "Ca", "Sc", "Sc", "Zn", "Zn"], "fractional_positions": [[0.250, 0.250, 0.000], [0.250, 0.750, 0.000], [0.750, 0.250, 0.000], [0.750, 0.750, 0.000], [0.000, 0.000, 0.500], [0.500, 0.500, 0.500], [0.000, 0.500, 0.500], [0.500, 0.000, 0.500]], "delta_e_f_ev_per_fu": 0.39, "e_tot_ev_per_cell": -22.43}



D(E_F) readings, ordered: 10.87 17.50 4.98 5.08 5.32 12.11 10.20 7.58 states/eV per cell